# AlZn2Sn (PBE, relaxed)
# - crystal system = trigonal
# - D(E_F) (states/eV/cell) = 2.97
# - energy relative to the elements (meV per atom) = 218.4
data_AlZn2Sn
_symmetry_space_group_name_H-M 'R -3 m'
_symmetry_Int_Tables_number 166
_symmetry_space_group_name_Hall '-R 3 2"'
_cell_length_a 3.8114
_cell_length_b 3.8114
_cell_length_c 19.8903
_cell_angle_alpha 90.00
_cell_angle_beta 90.00
_cell_angle_gamma 120.00
loop_
_atom_site_label
_atom_site_type_symbol
_atom_site_fract_x
_atom_site_fract_y
_atom_site_fract_z
Al1 Al 0.0000 0.0000 0.0000
Zn1 Zn 0.0000 0.0000 0.2584
Sn1 Sn 0.0000 0.0000 0.5000